Computed, not measured: a relaxed structure of Ba2PdSe at the PBE level of DFT.

Unit cell a=13.168 b=13.168 c=4.740 alpha=90.00 beta=90.00 gamma=159.98
Fractional positions:
Ba (0.062, 0.938, 0.750)
Ba (0.317, 0.683, 0.750)
Ba (0.683, 0.317, 0.250)
Ba (0.938, 0.062, 0.250)
Pd (0.467, 0.533, 0.750)
Pd (0.533, 0.467, 0.250)
Se (0.189, 0.811, 0.750)
Se (0.811, 0.189, 0.250)

Results
M_tot   0.00 μB per formula unit
Formation energy without anion corrections   -120.5 kJ per mole of atoms
Uncorrected energy   -4.3795 eV per atom